1.
A geometry-optimized SmDy6In structure. Source: Alexandria, functional GGA-PBE.

Cell: 4.907 4.907 10.044 Å, 90.00 90.00 90.00°
Element x y z (fractional)
Dy  0.500  0.000  0.743
Sm  0.000  0.000  0.000
Dy  0.500  0.500  0.500
Dy  0.500  0.500  0.000
In  0.000  0.000  0.500
Dy  0.500  0.000  0.257
Dy  0.000  0.500  0.743
Dy  0.000  0.500  0.257

## Properties
Total energy ... -4.496 eV per atom
Symmetry ... P4/mmm (123)
D(E_F) ... 8.5 states/eV/cell



2.
A geometry-optimized CrRe2Cl structure. Source: Alexandria, functional GGA-PBE.

Cell: 2.792 2.792 9.415 Å, 90.00 90.00 115.35°
Each line ends with the local moment (μB).
Element x y z (fractional)
Re  0.000  0.000  0.979  -0.12
Cl  0.000  0.000  0.563  0.06
Re  0.500  0.500  0.205  0.09
Cr  0.500  0.500  0.754  2.32

## Properties
Total energy ... -8.565 eV per atom
Symmetry ... Cmm2 (35)
Energy relative to the elements, uncorrected ... 0.527 eV per atom
Energy above the lowest structure with this stoichiometry ... 1.05 eV/f.u.
D(E_F) ... 4.7 states/eV/cell



3.
A geometry-optimized UAg3I2Cl6 structure. Source: Alexandria, functional GGA-PBE.

Cell: 6.679 8.139 8.882 Å, 117.27 105.44 90.00°
Each line ends with the local moment (μB).
Element x y z (fractional)
Cl  0.268  0.686  0.819  -0.03
Cl  0.732  0.314  0.181  -0.03
U  0.500  0.000  0.000  1.18
I  0.229  0.675  0.349  0.00
Cl  0.732  0.867  0.181  -0.03
Cl  0.280  0.108  0.216  -0.03
Cl  0.268  0.133  0.819  -0.03
Ag  0.500  0.500  0.500  0.00
Ag  0.500  0.000  0.500  0.00
I  0.771  0.325  0.651  0.00
Cl  0.720  0.892  0.784  -0.03
Ag  0.000  0.500  0.000  0.00

## Properties
Total energy ... -3.792 eV per atom
Symmetry ... C2/m (12)
Energy relative to the elements, uncorrected ... -0.957 eV per atom



4.
A geometry-optimized LiGeTe2N structure. Source: Alexandria, functional GGA-PBE.

Cell: 5.310 5.310 3.533 Å, 90.00 90.00 90.00°
Each line ends with the local moment (μB).
Element x y z (fractional)
Te  0.000  0.500  0.000  -0.02
N  0.000  0.000  0.500  0.21
Te  0.500  0.000  0.000  -0.02
Li  0.000  0.000  0.000  0.00
Ge  0.500  0.500  0.500  0.00

## Properties
Total energy ... -3.438 eV per atom
Symmetry ... P4/mmm (123)
Energy relative to the elements, uncorrected ... 0.790 eV per atom
Energy above the lowest structure with this stoichiometry ... 2.37 eV/f.u.
D(E_F) ... 2.5 states/eV/cell



5.
A geometry-optimized In2AgIr structure. Source: Alexandria, functional GGA-PBE.

Cell: 4.748 4.748 4.748 Å, 60.00 60.00 60.00°
Element x y z (fractional)
In  0.250  0.250  0.250
Ag  0.500  0.500  0.500
In  0.000  0.000  0.000
Ir  0.750  0.750  0.750

## Properties
Total energy ... -4.028 eV per atom
Symmetry ... F-43m (216)
D(E_F) ... 2.8 states/eV/cell



6.
A geometry-optimized NaZnSn6 structure. Source: Alexandria, functional GGA-PBE.

Cell: 6.082 6.082 6.082 Å, 89.89 89.89 89.89°
Element x y z (fractional)
Zn  0.500  0.500  0.500
Sn  0.547  0.171  0.171
Sn  0.171  0.171  0.547
Na  0.000  0.000  0.000
Sn  0.829  0.829  0.453
Sn  0.171  0.547  0.171
Sn  0.453  0.829  0.829
Sn  0.829  0.453  0.829

## Properties
Total energy ... -3.237 eV per atom
Symmetry ... R-3m (166)
D(E_F) ... 5.1 states/eV/cell